GGA-PBE NaLiCaHg, relaxed; crystal system = cubic; calculated formation energy = -0.18 eV/atom
1.0
0.0000 3.7361 3.7361
3.7361 0.0000 3.7361
3.7361 3.7361 0.0000
Na Li Ca Hg
1 1 1 1
Cartesian
0.0000 0.0000 0.0000
1.8681 1.8681 1.8681
5.6042 5.6042 5.6042
3.7361 3.7361 3.7361

---

GGA-PBE Ce2Nd3Se8, relaxed; raw formation energy = -1.678 eV/atom; crystal system = orthorhombic; energy above the lowest structure with this stoichiometry = 52 meV/atom
1.0
5.1081 -7.1728 0.0000
5.1081 7.1728 0.0000
0.0000 0.0000 4.9908
Ce Nd Se
2 3 8
Cartesian
5.1081 3.7822 0.0000
5.1081 -3.7822 0.0000
2.2323 0.0000 2.4954
5.1081 0.0000 0.0000
7.9840 0.0000 2.4954
5.1081 5.2983 2.4954
2.6418 1.7979 0.0000
5.1081 1.7342 2.4954
2.6418 -1.7979 0.0000
7.5745 1.7979 0.0000
5.1081 -1.7342 2.4954
7.5745 -1.7979 0.0000
5.1081 -5.2983 2.4954

---

GGA-PBE LiCaGa4Ir2, relaxed; crystal system = trigonal; calculated formation energy = -0.51 eV/atom
1.0
2.1311 1.2304 8.7600
-2.1311 1.2304 8.7600
0.0000 -2.4608 8.7600
Li Ca Ga Ir
1 1 4 2
Cartesian
0.0000 0.0000 0.0000
0.0000 0.0000 13.1400
0.0000 0.0000 2.5485
0.0000 0.0000 9.6440
0.0000 0.0000 16.6360
0.0000 0.0000 23.7315
0.0000 0.0000 6.9918
0.0000 0.0000 19.2882

---

GGA-PBE K2PaTe2Se6, relaxed; raw formation energy = -0.717 eV/atom; crystal system = monoclinic
1.0
7.5201 -3.7646 0.0000
7.5201 3.7646 0.0000
-4.5623 0.0000 7.0402
K Pa Te Se
2 1 2 6
Cartesian
2.4119 0.0000 1.6047
8.0659 0.0000 5.4355
-2.2812 0.0000 3.5201
6.1676 0.0000 1.2059
4.3101 0.0000 5.8343
3.2726 1.8463 4.4023
-0.6757 0.0000 5.6272
7.2052 1.8463 2.6379
3.2726 -1.8463 4.4023
11.1535 0.0000 1.4130
7.2052 -1.8463 2.6379